# 1
Material: TmScInSe3
Method: DFT, PBE-GGA
State: optimized geometry

M_tot: 0.018 Bohr magnetons per cell
space-group type: Cmcm
E: -5.28 eV per atom

Cell: 7.7562 7.7562 10.9956 Å, 90.00 90.00 150.22°
Atoms (fractional coordinates):
Se 0.9983 0.0017 0.7500
Se 0.3661 0.6339 0.9910
Se 0.6339 0.3661 0.0090
Se 0.6339 0.3661 0.4910
Se 0.0017 0.9983 0.2500
Se 0.3661 0.6339 0.5090
In 0.7173 0.2827 0.7500
In 0.2827 0.7173 0.2500
Tm 0.0000 0.0000 0.0000
Tm 0.0000 0.0000 0.5000
Sc 0.6207 0.3793 0.2500
Sc 0.3793 0.6207 0.7500


# 2
Material: ScZnInSe3
Method: DFT, PBE-GGA
State: optimized geometry

M_tot: 0.009 Bohr magnetons per cell
space-group type: Cmcm
E: -4.46 eV per atom

Cell: 7.5648 7.5648 10.4340 Å, 90.00 90.00 30.24°
Atoms (fractional coordinates):
Se 0.9322 0.9322 0.7500
Se 0.0678 0.0678 0.2500
Se 0.6265 0.6265 0.9486
Se 0.3735 0.3735 0.0514
Se 0.3735 0.3735 0.4486
Se 0.6265 0.6265 0.5514
Sc 0.0000 0.0000 0.0000
Sc 0.0000 0.0000 0.5000
Zn 0.5376 0.5376 0.7500
Zn 0.4624 0.4624 0.2500
In 0.7527 0.7527 0.2500
In 0.2473 0.2473 0.7500


Number 1: calculated volume 27.4 Å³/atom. Number 2: calculated volume 25.1 Å³/atom.